The following is a PBE-GGA calculation of a relaxed Hf2Co2H7 crystal, from Alexandria.

Computed properties:
**Total energy**: -5.448 eV per atom
**Crystal system**: orthorhombic
**Theoretical density**: 9.9 g/cm³
**DOS(E_F)**: 4.57 states/eV/cell
**V**: 7.385 A^3/atom

Cell lengths 4.4358, 4.4358, 4.1358 Å; angles 90.00, 90.00, 93.37 degrees
Closest atoms and distances in Å follow each position.
Atoms (fractional coordinates):
Hf (0.2439, 0.2439, 0.0000)  6 H 1.97-2.01
Hf (0.7561, 0.7561, 0.0000)  6 H 1.97-2.01
Co (0.2639, 0.7361, 0.5000)  7 H 1.70-1.75
Co (0.7361, 0.2639, 0.5000)  7 H 1.70-1.75
H (0.0000, 0.0000, 0.5000)  2 Co 1.70
H (0.0000, 0.5000, 0.2896)  1 H 1.74, 2 Co 1.75
H (0.0000, 0.5000, 0.7104)  1 H 1.74, 2 Co 1.75
H (0.5000, 0.0000, 0.2896)  1 H 1.74, 2 Co 1.75
H (0.5000, 0.0000, 0.7104)  1 H 1.74, 2 Co 1.75
H (0.5000, 0.5000, 0.2916)  1 H 1.72, 2 Co 1.75
H (0.5000, 0.5000, 0.7084)  1 H 1.72, 2 Co 1.75

---

The following is a PBE-GGA calculation of a relaxed TlCd2Os crystal, from Alexandria.

Computed properties:
**Distance to the lowest polymorph of the same formula**: 0.0 meV per atom
**Crystal system**: orthorhombic
**Theoretical density**: 11.5 g/cm³
**DOS(E_F)**: 4.32 states/eV/cell
**V**: 22.410 A^3/atom

Cell lengths 2.9548, 4.6618, 13.0148 Å; angles 90.00, 90.00, 90.00 degrees
Closest atoms and distances in Å follow each position.
Atoms (fractional coordinates):
Tl (0.0000, 0.0000, 0.0000)  4 Os 2.76, 2 Tl 2.95
Tl (0.5000, 0.5000, 0.5000)  4 Os 2.76, 2 Tl 2.95
Cd (0.0000, 0.5000, 0.1893)  2 Os 2.87, 6 Cd 2.95-3.18
Cd (0.0000, 0.5000, 0.8107)  2 Os 2.87, 6 Cd 2.95-3.18
Cd (0.5000, 0.0000, 0.3107)  2 Os 2.87, 6 Cd 2.95-3.18
Cd (0.5000, 0.0000, 0.6893)  2 Os 2.87, 6 Cd 2.95-3.18
Os (0.0000, 0.0000, 0.5000)  4 Tl 2.76, 4 Cd 2.87, 2 Os 2.95
Os (0.5000, 0.5000, 0.0000)  4 Tl 2.76, 4 Cd 2.87, 2 Os 2.95

---

The following is a PBE-GGA calculation of a relaxed HfZr2Ti5Ir2 crystal, from Alexandria.

Computed properties:
**Total energy**: -8.680 eV per atom
**Crystal system**: tetragonal
**Theoretical density**: 8.6 g/cm³
**DOS(E_F)**: 29.93 states/eV/cell
**V**: 19.016 A^3/atom

Cell lengths 10.7945, 10.7945, 3.2640 Å; angles 90.00, 90.00, 90.00 degrees
Closest atoms and distances in Å follow each position.
Atoms (fractional coordinates):
Hf (0.0000, 0.0000, 0.0000)  8 Ti 2.85
Hf (0.5000, 0.5000, 0.0000)  8 Ti 2.85
Zr (0.1759, 0.3241, 0.0000)  3 Ir 2.98-3.33, 10 Ti 3.14-3.33, 2 Zr 3.26
Zr (0.3241, 0.8241, 0.0000)  3 Ir 2.98-3.33, 10 Ti 3.14-3.33, 2 Zr 3.26
Zr (0.6759, 0.1759, 0.0000)  3 Ir 2.98-3.33, 10 Ti 3.14-3.33, 2 Zr 3.26
Zr (0.8241, 0.6759, 0.0000)  3 Ir 2.98-3.33, 10 Ti 3.14-3.33, 2 Zr 3.26
Ti (0.0000, 0.5000, 0.5000)  4 Ir 2.56
Ti (0.0571, 0.7917, 0.5000)  2 Ir 2.52
Ti (0.2083, 0.0571, 0.5000)  2 Ir 2.52
Ti (0.2917, 0.5571, 0.5000)  2 Ir 2.52
Ti (0.4429, 0.2917, 0.5000)  2 Ir 2.52
Ti (0.5000, 0.0000, 0.5000)  4 Ir 2.56
Ti (0.5571, 0.7083, 0.5000)  2 Ir 2.52
Ti (0.7083, 0.4429, 0.5000)  2 Ir 2.52
Ti (0.7917, 0.9429, 0.5000)  2 Ir 2.52
Ti (0.9429, 0.2083, 0.5000)  2 Ir 2.52
Ir (0.1288, 0.6288, 0.0000)  6 Ti 2.52-2.56
Ir (0.3712, 0.1288, 0.0000)  6 Ti 2.52-2.56
Ir (0.6288, 0.8712, 0.0000)  6 Ti 2.52-2.56
Ir (0.8712, 0.3712, 0.0000)  6 Ti 2.52-2.56